No. 1
Below is a geometry-optimized LiAg3Au3 structure, with properties calculated at the GGA-PBE level.

Calculated total energy: -3.085 eV/atom
Energy relative to the elements: -0.185 eV per atom
Space-group type: P6_3/m
Magnetic moment: 0.0 μB/cell

Cell and atoms, written as POSCAR:
```
LiAg3Au3
1.0
4.7943 0.0000 0.0000
0.0000 6.6495 -3.8390
0.0000 0.0000 7.6780
Li Ag Au
2 6 6
Cartesian
3.5958 2.2165 3.8391 Li
1.1986 4.4330 -0.0001 Li
3.5958 5.0508 4.3971 Ag
3.5958 1.2826 1.1056 Ag
3.5958 0.3161 6.0146 Ag
1.1986 1.5987 -0.5580 Ag
1.1986 5.3670 2.7335 Ag
1.1986 6.3334 -2.1755 Ag
3.5958 6.0301 -0.5415 Au
3.5958 3.1654 -1.1122 Au
3.5958 4.1035 1.6539 Au
1.1986 0.6194 4.3806 Au
1.1986 3.4841 4.9512 Au
1.1986 2.5460 2.1851 Au
```

---

No. 2
Below is a geometry-optimized LiAg2Au2 structure, with properties calculated at the GGA-PBE level.

Calculated total energy: -2.847 eV/atom
Energy relative to the elements: -0.013 eV per atom
Space-group type: I4/mmm
Magnetic moment: 0.0 μB/cell

Cell and atoms, written as POSCAR:
```
LiAg2Au2
1.0
3.8722 0.0000 0.0000
0.0000 3.8722 0.0000
1.9361 1.9361 6.8916
Au Ag Li
2 2 1
Cartesian
3.8722 1.9361 3.4458 Au
1.9361 3.8722 3.4458 Au
1.9361 1.9361 1.3292 Ag
3.8722 3.8722 5.5624 Ag
0.0000 0.0000 0.0000 Li
```

---

No. 3
Below is a geometry-optimized LiAg2Au2 structure, with properties calculated at the GGA-PBE level.

Calculated total energy: -2.959 eV/atom
Energy relative to the elements: -0.125 eV per atom
Space-group type: P4/mbm
Magnetic moment: 0.0 μB/cell

Cell and atoms, written as POSCAR:
```
LiAg2Au2
1.0
6.8652 0.0000 0.0000
0.0000 6.8652 0.0000
0.0000 0.0000 4.0046
Au Ag Li
4 4 2
Cartesian
2.4472 5.8798 0.0000 Au
5.8798 4.4181 0.0000 Au
4.4181 0.9854 0.0000 Au
0.9854 2.4472 0.0000 Au
1.0905 4.5231 2.0023 Ag
4.5231 5.7747 2.0023 Ag
5.7747 2.3421 2.0023 Ag
2.3421 1.0905 2.0023 Ag
0.0000 0.0000 0.0000 Li
3.4326 3.4326 0.0000 Li
```

---

No. 4
Below is a geometry-optimized Li2Ag7Au2 structure, with properties calculated at the GGA-PBE level.

Calculated total energy: -2.851 eV/atom
Energy relative to the elements: -0.093 eV per atom
Space-group type: Immm
Magnetic moment: 0.0 μB/cell

Cell and atoms, written as POSCAR:
```
Li2Ag7Au2
1.0
-3.4735 2.2736 0.5487
-5.5755 -4.0338 -2.6440
-3.6923 -3.1360 5.5571
Li Ag Au
2 7 2
Cartesian
-10.0335 -4.4528 2.7914 Li
-2.7078 -0.4435 0.6703 Li
-3.2126 -1.7929 3.0571 Ag
-8.6129 -2.6668 4.3928 Ag
-9.5287 -3.1034 0.4047 Ag
-4.1284 -2.2295 -0.9310 Ag
0.0000 0.0000 0.0000 Ag
-5.4761 -0.9945 1.3663 Ag
-7.2653 -3.9018 2.0954 Ag
-6.8728 -2.6876 -0.4561 Au
-5.8685 -2.2087 3.9178 Au
```

---

No. 5
Below is a geometry-optimized Li4AgAu7 structure, with properties calculated at the GGA-PBE level.

Calculated total energy: -3.034 eV/atom
Energy relative to the elements: -0.247 eV per atom
Space-group type: C2/m
Magnetic moment: 0.0 μB/cell

Cell and atoms, written as POSCAR:
```
Li4AgAu7
1.0
-4.8724 1.5002 0.4283
-4.9260 -6.4470 -2.9005
-2.7201 -1.5571 5.0663
Li Ag Au
4 1 7
Cartesian
-5.5994 -1.4823 2.6051 Li
-6.9191 -5.0216 -0.0110 Li
-9.2089 -4.4846 2.6149 Li
-3.3096 -2.0193 -0.0208 Li
0.0000 0.0000 0.0000 Ag
-9.7286 -5.5118 0.3011 Au
-2.7899 -0.9920 2.2931 Au
-4.1449 -4.4817 -0.8982 Au
-8.3736 -2.0221 3.4924 Au
-6.3896 -3.9975 2.4252 Au
-2.4362 0.7501 0.2141 Au
-6.1288 -2.5064 0.1689 Au
```

---

No. 6
Below is a geometry-optimized Li5Ag5Au2 structure, with properties calculated at the GGA-PBE level.

Calculated total energy: -2.798 eV/atom
Energy relative to the elements: -0.266 eV per atom
Space-group type: C2/m
Magnetic moment: 0.0 μB/cell

Cell and atoms, written as POSCAR:
```
Li5Ag5Au2
1.0
4.3454 0.0000 1.4027
1.4517 6.2345 2.9350
0.0474 -0.0326 7.2853
Li Ag Au
5 5 2
Cartesian
5.1083 4.6125 6.4712 Li
2.1830 4.4729 8.1014 Li
3.6614 1.7290 3.5215 Li
0.7361 1.5895 5.1517 Li
0.0000 0.0000 0.0000 Li
2.9222 3.1010 5.8115 Ag
2.2164 1.4297 7.9980 Ag
1.4126 0.0031 3.0560 Ag
4.4319 6.1989 8.5669 Ag
3.6280 4.7723 3.6250 Ag
4.4255 3.1508 8.5866 Au
1.4189 3.0512 3.0364 Au
```

---

No. 7
Below is a geometry-optimized LiAg6Au structure, with properties calculated at the GGA-PBE level.

Calculated total energy: -2.802 eV/atom
Energy relative to the elements: -0.014 eV per atom
Space-group type: P-1
Magnetic moment: 0.0 μB/cell

Cell and atoms, written as POSCAR:
```
LiAg6Au
1.0
7.2027 0.3162 -0.2056
3.8544 6.7127 0.0278
3.5824 2.4066 3.0605
Li Ag Au
1 6 1
Cartesian
7.3198 4.7177 1.4413 Li
11.5865 5.4418 2.4007 Ag
11.8054 8.4161 2.2278 Ag
5.5391 2.6519 0.9823 Ag
2.8341 1.0193 0.6548 Ag
3.0530 3.9936 0.4818 Ag
9.1005 6.7836 1.9003 Ag
0.0000 0.0000 0.0000 Au
```

---

No. 8
Below is a geometry-optimized Li4Ag2Au structure, with properties calculated at the GGA-PBE level.

Calculated total energy: -2.579 eV/atom
Energy relative to the elements: -0.202 eV per atom
Space-group type: I-42d
Magnetic moment: 0.0 μB/cell

Cell and atoms, written as POSCAR:
```
Li4Ag2Au
1.0
6.7688 0.0125 -0.0217
-2.2434 6.3862 0.0217
-2.2820 -3.1857 5.5191
Li Ag Au
8 4 2
Cartesian
-2.0877 4.5759 2.0305 Li
1.4052 3.0819 2.9467 Li
3.5400 1.5721 3.9467 Li
-0.6564 -1.2360 4.8846 Li
2.5462 4.6991 0.2012 Li
2.7280 -1.2054 4.8879 Li
2.4413 -0.0263 1.1731 Li
-0.9431 1.3909 2.0056 Li
4.4404 -0.7406 2.8177 Ag
1.0560 0.3240 3.4467 Ag
-1.0754 3.1603 4.0757 Ag
0.0656 3.6823 0.6980 Ag
0.0000 0.0000 0.0000 Au
3.3844 2.4061 1.3744 Au
```